Run a
A geometry-optimized AcZnSi structure, computed with PBE.

The structure in POSCAR format:
```
AcZnSi
1.0
4.2776 -0.4045 0.0000
-1.7888 3.9066 0.0000
0.0000 0.0000 9.2158
Si Zn Ac
2 2 2
Direct
0.6666 0.8334 0.7500
0.3334 0.1666 0.2500
0.3333 0.1667 0.7500
0.6667 0.8333 0.2500
0.0000 0.5000 0.0000
0.0000 0.5000 0.5000
```

Computed properties:
DOS at the Fermi energy = 2.4 states/eV/f.u.

Run b
A geometry-optimized AcZnSi structure, computed with PBE.

The structure in POSCAR format:
```
AcZnSi
1.0
5.5053 0.0000 0.0000
-2.7526 4.7677 0.0000
0.0000 0.0000 9.0173
Zn Si Ac
3 3 3
Direct
0.0066 0.6722 0.3666
0.3278 0.3344 0.0333
0.6656 0.9934 0.7000
0.9983 0.6566 0.6372
0.3434 0.3417 0.3039
0.6583 0.0017 0.9706
0.3324 0.3262 0.6628
0.9938 0.6676 0.9961
0.6738 0.0062 0.3294
```

Computed properties:
DOS at the Fermi energy = 3.3 states/eV/f.u.

Run c
A geometry-optimized AcZnSi structure, computed with PBE.

The structure in POSCAR format:
```
AcZnSi
1.0
-0.9790 4.4912 -0.0733
-3.3696 -0.7763 -2.5654
-0.4963 -0.0384 4.2767
Zn Si Ac
1 1 1
Direct
0.1667 0.3333 0.6667
0.1665 0.0000 0.0000
0.6668 0.6667 0.3333
```

Computed properties:
DOS at the Fermi energy = 2.7 states/eV/f.u.

So which one is most stable? That would be run a, about 9 meV/atom below the next structure.

Run a
A geometry-optimized Ac2ZnSi2 structure, computed with PBE.

The structure in POSCAR format:
```
Ac2ZnSi2
1.0
4.4205 0.0000 0.0000
0.0000 4.0950 -1.3289
0.0000 0.0375 7.0893
Ac Si Zn
2 2 1
Direct
0.0000 0.9310 0.8619
0.0000 0.6884 0.3767
0.5000 0.5048 0.0096
0.5000 0.3104 0.6208
0.5000 0.1076 0.2152
```

Computed properties:
DOS at the Fermi energy = 3.1 states/eV/f.u.

Run b
A geometry-optimized Ac2ZnSi2 structure, computed with PBE.

The structure in POSCAR format:
```
Ac2ZnSi2
1.0
4.3611 0.0000 0.0000
2.1805 5.8328 0.2787
2.1805 1.3987 10.4767
Si Ac Zn
4 4 2
Direct
0.0370 0.3383 0.5877
0.9630 0.6617 0.4123
0.3527 0.1544 0.1403
0.6473 0.8456 0.8597
0.0946 0.7200 0.0908
0.9054 0.2800 0.9092
0.2997 0.7569 0.6438
0.7003 0.2431 0.3562
0.5736 0.1739 0.6789
0.4264 0.8261 0.3211
```

Computed properties:
DOS at the Fermi energy = 2.8 states/eV/f.u.

So which one is most stable? That would be run b, about 138 meV/atom below the next structure.

Run a
A geometry-optimized Ac3Sm13 structure, computed with PBE.

The structure in POSCAR format:
```
Ac3Sm13
1.0
7.3897 -0.0079 0.0000
-0.0343 7.3896 0.0000
0.0000 0.0000 10.4511
Sm Ac
13 3
Direct
0.2572 0.2562 0.5000
0.4989 0.9982 0.7469
0.2570 0.7430 0.5000
0.0018 0.5011 0.2531
0.0018 0.5011 0.7469
0.2507 0.2534 0.0000
0.7438 0.7428 0.5000
0.7466 0.7493 0.0000
0.2543 0.7457 0.0000
0.4989 0.9982 0.2531
0.4972 0.5028 0.2522
0.7452 0.2548 0.5000
0.4972 0.5028 0.7478
0.7442 0.2558 0.0000
0.0027 0.9973 0.2545
0.0027 0.9973 0.7455
```

Computed properties:
DOS at the Fermi energy = 24.8 states/eV/f.u.

Run b
A geometry-optimized Ac3Sm13 structure, computed with PBE.

The structure in POSCAR format:
```
Ac3Sm13
1.0
-3.4385 -2.1098 -6.3028
-1.9758 -7.7389 3.6684
-7.3633 3.9773 2.6858
Sm Ac
13 3
Direct
0.5000 0.7005 0.7858
0.2527 0.4634 0.0458
0.0000 0.2120 0.2920
0.0000 0.7862 0.2138
0.2527 0.9542 0.5366
0.5000 0.2142 0.2995
0.5000 0.7876 0.2124
0.0000 0.7080 0.7880
0.7490 0.5447 0.4553
0.5000 0.2949 0.7051
0.7473 0.4634 0.0458
0.7473 0.9542 0.5366
0.2510 0.5447 0.4553
0.2521 0.0384 0.9616
0.7479 0.0384 0.9616
0.0000 0.2952 0.7048
```

Computed properties:
DOS at the Fermi energy = 27.7 states/eV/f.u.

So which one is most stable? That would be run a, about 17 meV/atom below the next structure.

Run a
A geometry-optimized AcSm4 structure, computed with PBE.

The structure in POSCAR format:
```
AcSm4
1.0
-2.5693 -0.4293 2.6028
1.8757 -5.4462 0.9548
5.7070 5.7911 3.9884
Sm Ac
4 1
Direct
0.2155 0.2153 0.9307
0.1000 0.6000 0.7003
0.7845 0.7847 0.0693
0.9000 0.4000 0.2997
0.5000 0.0000 0.5000
```

Computed properties:
DOS at the Fermi energy = 7.0 states/eV/f.u.

Run b
A geometry-optimized AcSm4 structure, computed with PBE.

The structure in POSCAR format:
```
AcSm4
1.0
-1.7708 -4.8909 3.0039
-0.1947 -3.0906 -5.1469
5.7364 -1.6147 0.7526
Sm Ac
4 1
Direct
0.0000 0.0000 0.0000
0.5000 0.0000 0.5000
0.0000 0.5000 0.5000
0.5000 0.5000 0.0000
0.5000 0.5000 0.5000
```

Computed properties:
DOS at the Fermi energy = 10.3 states/eV/f.u.

So which one is most stable? That would be run a, about 870 meV/atom below the next structure.